one) Li | meta-GGA SCAN | PBEsol geometry

Results
total magnetization	0.03	μB per cell
V	19.9	Å³/f.u.

a = 3.062 Å, b = 3.062 Å, c = 4.911 Å
α = 90.00°, β = 90.00°, γ = 120.00°
Positions (direct):
Li (0.333, 0.667, 0.250)
Li (0.667, 0.333, 0.750)

=====

two) Li | meta-GGA SCAN | PBEsol geometry

Results
total magnetization	0.03	μB per cell
V	19.9	Å³/f.u.

a = 3.090 Å, b = 3.021 Å, c = 3.090 Å
α = 59.25°, β = 90.00°, γ = 120.75°
Positions (direct):
Li (0.000, 0.000, 0.000)

=====

three) Li | meta-GGA SCAN | PBEsol geometry

Results
total magnetization	0.00	μB per cell
V	19.9	Å³/f.u.

a = 2.706 Å, b = 2.916 Å, c = 2.916 Å
α = 120.00°, β = 90.00°, γ = 90.00°
Positions (direct):
Li (0.000, 0.000, 0.000)

=====

four) Li | meta-GGA SCAN | PBEsol geometry

Results
total magnetization	0.08	μB per cell
V	20.1	Å³/f.u.

a = 5.930 Å, b = 5.930 Å, c = 5.930 Å
α = 109.47°, β = 109.47°, γ = 109.47°
Positions (direct):
Li (0.988, 0.988, 0.488)
Li (0.000, 0.500, 0.012)
Li (0.012, 0.000, 0.000)
Li (0.000, 0.500, 0.512)
Li (0.488, 0.488, 0.988)
Li (0.512, 0.000, 0.000)
Li (0.500, 0.512, 0.500)
Li (0.500, 0.012, 0.500)

=====

Going by the energies, four) is most stable and the next is 5 meV per atom up.

=====

one) Li3Mg5 | meta-GGA SCAN | PBEsol geometry

Results
total magnetization	0.00	μB per cell
V	162.7	Å³/f.u.

a = 5.957 Å, b = 5.957 Å, c = 5.957 Å
α = 108.72°, β = 109.85°, γ = 109.85°
Positions (direct):
Mg (0.500, 0.000, 0.000)
Mg (0.500, 0.500, 0.500)
Mg (0.000, 0.000, 0.500)
Mg (0.000, 0.500, 0.000)
Mg (0.000, 0.000, 0.000)
Li (0.500, 0.500, 0.000)
Li (0.500, 0.000, 0.500)
Li (0.000, 0.500, 0.500)

=====

two) Li3Mg5 | meta-GGA SCAN | PBEsol geometry

Results
total magnetization	0.28	μB per cell
V	164.0	Å³/f.u.

a = 5.619 Å, b = 8.210 Å, c = 8.210 Å
α = 120.00°, β = 90.00°, γ = 90.00°
Positions (direct):
Li (0.250, 0.000, 0.402)
Li (0.750, 0.000, 0.598)
Li (0.250, 0.598, 0.598)
Li (0.750, 0.598, 0.000)
Li (0.750, 0.402, 0.402)
Li (0.250, 0.402, 0.000)
Mg (0.750, 0.000, 0.236)
Mg (0.250, 0.000, 0.764)
Mg (0.750, 0.764, 0.764)
Mg (0.250, 0.764, 0.000)
Mg (0.000, 0.667, 0.333)
Mg (0.500, 0.667, 0.333)
Mg (0.000, 0.333, 0.667)
Mg (0.500, 0.333, 0.667)
Mg (0.250, 0.236, 0.236)
Mg (0.750, 0.236, 0.000)

=====

three) Li3Mg5 | meta-GGA SCAN | PBEsol geometry

Results
total magnetization	0.38	μB per cell
V	162.6	Å³/f.u.

a = 5.488 Å, b = 8.172 Å, c = 8.172 Å
α = 83.53°, β = 70.38°, γ = 70.38°
Positions (direct):
Li (0.672, 0.500, 0.157)
Li (0.750, 0.000, 0.000)
Li (0.172, 0.157, 0.500)
Li (0.828, 0.843, 0.500)
Li (0.250, 0.000, 0.000)
Li (0.328, 0.500, 0.843)
Mg (0.224, 0.851, 0.701)
Mg (0.925, 0.299, 0.851)
Mg (0.250, 0.500, 0.500)
Mg (0.425, 0.851, 0.299)
Mg (0.724, 0.701, 0.851)
Mg (0.276, 0.299, 0.149)
Mg (0.575, 0.149, 0.701)
Mg (0.750, 0.500, 0.500)
Mg (0.075, 0.701, 0.149)
Mg (0.776, 0.149, 0.299)

=====

Going by the energies, one) is most stable and the next is 14 meV per atom up.

=====

one) LiMg5 | meta-GGA SCAN | PBEsol geometry

Results
total magnetization	0.07	μB per cell
V	129.6	Å³/f.u.

a = 3.139 Å, b = 5.068 Å, c = 8.300 Å
α = 90.00°, β = 101.04°, γ = 90.00°
Positions (direct):
Mg (0.222, 0.500, 0.445)
Mg (0.335, 0.000, 0.670)
Mg (0.555, 0.500, 0.108)
Mg (0.664, 0.000, 0.330)
Mg (0.890, 0.500, 0.781)
Li (0.000, 0.000, 0.000)

=====

two) LiMg5 | meta-GGA SCAN | PBEsol geometry

Results
total magnetization	0.11	μB per cell
V	129.6	Å³/f.u.

a = 3.151 Å, b = 3.151 Å, c = 15.077 Å
α = 90.00°, β = 90.00°, γ = 120.00°
Positions (direct):
Mg (0.000, 0.000, 0.159)
Mg (0.333, 0.667, 0.331)
Mg (0.000, 0.000, 0.500)
Mg (0.333, 0.667, 0.669)
Mg (0.000, 0.000, 0.841)
Li (0.333, 0.667, 0.000)

=====

three) LiMg5 | meta-GGA SCAN | PBEsol geometry

Results
total magnetization	0.25	μB per cell
V	130.1	Å³/f.u.

a = 4.377 Å, b = 4.500 Å, c = 6.960 Å
α = 90.00°, β = 108.33°, γ = 90.00°
Positions (direct):
Mg (0.334, 0.500, 0.668)
Mg (0.165, 0.000, 0.331)
Mg (0.000, 0.500, 0.000)
Mg (0.835, 0.000, 0.669)
Mg (0.666, 0.500, 0.332)
Li (0.500, 0.000, 0.000)

=====

Going by the energies, two) is most stable and the next is 7 meV per atom up.

=====

one) Li7MgNi7O16 | meta-GGA SCAN | PBEsol geometry

Results
total magnetization	5.00	μB per cell
V	264.3	Å³/f.u.

a = 4.968 Å, b = 5.731 Å, c = 9.844 Å
α = 106.33°, β = 100.26°, γ = 89.96°
Site moments in Bohr magnetons follow the coordinates.
Positions (direct):
Li (0.240, 0.870, 0.742)  0.00
Li (0.231, 0.383, 0.747)  0.00
Li (0.504, 0.258, 0.003)  0.00
Li (0.760, 0.130, 0.258)  0.00
Li (0.769, 0.617, 0.253)  0.00
Li (0.496, 0.742, 0.997)  0.00
Li (0.000, 0.000, 0.500)  0.01
Mg (0.000, 0.000, 0.000)  0.00
Ni (0.743, 0.631, 0.750)  0.87
Ni (0.733, 0.135, 0.752)  0.04
Ni (0.000, 0.500, 0.000)  0.88
Ni (0.257, 0.369, 0.250)  0.87
Ni (0.267, 0.865, 0.248)  0.04
Ni (0.507, 0.750, 0.500)  0.87
Ni (0.493, 0.250, 0.500)  0.87
O (0.083, 0.204, 0.872)  -0.02
O (0.627, 0.936, 0.862)  0.00
O (0.373, 0.064, 0.138)  0.00
O (0.913, 0.326, 0.127)  -0.05
O (0.623, 0.426, 0.869)  0.17
O (0.087, 0.674, 0.873)  -0.05
O (0.377, 0.574, 0.131)  0.17
O (0.917, 0.796, 0.128)  -0.02
O (0.589, 0.418, 0.378)  0.01
O (0.171, 0.679, 0.364)  0.01
O (0.842, 0.849, 0.634)  0.06
O (0.607, 0.922, 0.379)  0.05
O (0.411, 0.582, 0.622)  0.01
O (0.158, 0.151, 0.366)  0.06
O (0.393, 0.078, 0.621)  0.05
O (0.829, 0.321, 0.636)  0.01

=====

two) Li7MgNi7O16 | meta-GGA SCAN | PBEsol geometry

Results
total magnetization	5.00	μB per cell
V	259.7	Å³/f.u.

a = 4.891 Å, b = 7.544 Å, c = 7.544 Å
α = 98.70°, β = 102.42°, γ = 102.42°
Site moments in Bohr magnetons follow the coordinates.
Positions (direct):
Li (0.500, 0.496, 0.997)  0.00
Li (0.535, 0.768, 0.760)  0.00
Li (0.500, 0.121, 0.879)  0.00
Li (0.500, 0.003, 0.504)  0.00
Li (0.500, 0.379, 0.621)  0.01
Li (0.500, 0.620, 0.380)  0.01
Li (0.465, 0.240, 0.232)  0.00
Mg (0.500, 0.884, 0.116)  0.01
Ni (0.997, 0.628, 0.875)  0.85
Ni (0.000, 0.249, 0.751)  0.29
Ni (0.000, 0.878, 0.631)  0.86
Ni (0.000, 0.499, 0.501)  0.97
Ni (0.003, 0.125, 0.372)  0.85
Ni (0.000, 0.749, 0.251)  0.17
Ni (0.000, 0.369, 0.122)  0.86
O (0.227, 0.267, 0.988)  -0.09
O (0.241, 0.853, 0.860)  -0.02
O (0.781, 0.382, 0.877)  -0.01
O (0.210, 0.493, 0.743)  -0.03
O (0.208, 0.744, 0.497)  -0.05
O (0.763, 0.636, 0.632)  0.15
O (0.219, 0.123, 0.618)  -0.01
O (0.773, 0.012, 0.733)  -0.09
O (0.237, 0.368, 0.364)  0.15
O (0.771, 0.872, 0.371)  0.07
O (0.234, 0.984, 0.267)  -0.02
O (0.790, 0.257, 0.507)  -0.03
O (0.229, 0.629, 0.128)  0.07
O (0.792, 0.503, 0.256)  -0.05
O (0.766, 0.733, 0.016)  -0.02
O (0.759, 0.140, 0.147)  -0.02

=====

Going by the energies, one) is most stable and the next is 51 meV per atom up.

=====

one) LiMgPt | meta-GGA SCAN | PBEsol geometry

Results
total magnetization	0.00	μB per cell
V	44.1	Å³/f.u.

a = 2.813 Å, b = 4.257 Å, c = 4.257 Å
α = 120.00°, β = 90.00°, γ = 90.00°
Positions (direct):
Mg (0.701, 0.667, 0.333)
Pt (0.281, 0.333, 0.667)
Li (0.018, 0.000, 0.000)

=====

two) LiMgPt | meta-GGA SCAN | PBEsol geometry

Results
total magnetization	0.00	μB per cell
V	47.9	Å³/f.u.

a = 4.078 Å, b = 4.078 Å, c = 4.078 Å
α = 60.00°, β = 60.00°, γ = 60.00°
Positions (direct):
Mg (0.000, 0.000, 0.000)
Pt (0.500, 0.500, 0.500)
Li (0.250, 0.250, 0.250)

=====

Going by the energies, one) is most stable and the next is 388 meV per atom up.